--- 1 ---
## Mg2TaRh (GGA-PBE)

Data for Mg2TaRh after structural relaxation.

```
data_Mg2TaRh
_chemical_formula_sum 'Mg8 Ta4 Rh4'
_space_group_name_H-M_alt 'F -4 3 m'
_space_group_IT_number 216
_space_group_name_Hall 'F -4 2 3'
_cell_length_a 6.4427
_cell_length_b 6.4427
_cell_length_c 6.4427
_cell_angle_alpha 90.00
_cell_angle_beta 90.00
_cell_angle_gamma 90.00
loop_
_atom_site_label
_atom_site_type_symbol
_atom_site_fract_x
_atom_site_fract_y
_atom_site_fract_z
Mg1 Mg 0.0000 0.0000 0.0000
Mg2 Mg 0.2500 0.2500 0.2500
Ta1 Ta 0.2500 0.2500 0.7500
Rh1 Rh 0.0000 0.0000 0.5000
```

Crystal system: cubic
Calculated volume in Å³/atom: 16.71


--- 2 ---
## Mg2TaRh (GGA-PBE)

Data for Mg2TaRh after structural relaxation.

```
data_Mg2TaRh
_chemical_formula_sum 'Mg4 Ta2 Rh2'
_space_group_name_H-M_alt 'C 1 m 1'
_space_group_IT_number 8
_space_group_name_Hall 'C -2y'
_cell_length_a 9.2525
_cell_length_b 2.8752
_cell_length_c 5.3277
_cell_angle_alpha 90.00
_cell_angle_beta 97.71
_cell_angle_gamma 90.00
loop_
_atom_site_label
_atom_site_type_symbol
_atom_site_fract_x
_atom_site_fract_y
_atom_site_fract_z
Mg1 Mg 0.0000 0.0000 0.0000
Mg2 Mg 0.2387 0.0000 0.7625
Ta1 Ta 0.2578 0.5000 0.2898
Rh1 Rh 0.0056 0.5000 0.4785
```

Crystal system: monoclinic
Fermi-level density of states in states/eV per atom: 0.65
Calculated volume in Å³/atom: 17.56


--- 3 ---
## Mg2TaRh (GGA-PBE)

Data for Mg2TaRh after structural relaxation.

```
data_Mg2TaRh
_chemical_formula_sum 'Mg6 Ta3 Rh3'
_space_group_name_H-M_alt 'R -3 m'
_space_group_IT_number 166
_space_group_name_Hall '-R 3 2"'
_cell_length_a 2.9357
_cell_length_b 2.9357
_cell_length_c 28.0196
_cell_angle_alpha 90.00
_cell_angle_beta 90.00
_cell_angle_gamma 120.00
loop_
_atom_site_label
_atom_site_type_symbol
_atom_site_fract_x
_atom_site_fract_y
_atom_site_fract_z
Mg1 Mg 0.0000 0.0000 0.2406
Ta1 Ta 0.0000 0.0000 0.0000
Rh1 Rh 0.0000 0.0000 0.5000
```

Crystal system: trigonal
Fermi-level density of states in states/eV per atom: 1.25
Calculated volume in Å³/atom: 17.43


--- 4 ---
## Mg2TaRh (GGA-PBE)

Data for Mg2TaRh after structural relaxation.

```
data_Mg2TaRh
_chemical_formula_sum 'Mg2 Ta1 Rh1'
_space_group_name_H-M_alt 'P 1 2/m 1'
_space_group_IT_number 10
_space_group_name_Hall '-P 2y'
_cell_length_a 4.4017
_cell_length_b 3.3194
_cell_length_c 4.7105
_cell_angle_alpha 90.00
_cell_angle_beta 91.00
_cell_angle_gamma 90.00
loop_
_atom_site_label
_atom_site_type_symbol
_atom_site_fract_x
_atom_site_fract_y
_atom_site_fract_z
Mg1 Mg 0.0000 0.0000 0.0000
Mg2 Mg 0.5000 0.5000 0.0000
Ta1 Ta 0.0000 0.5000 0.5000
Rh1 Rh 0.5000 0.0000 0.5000
```

Crystal system: monoclinic
Fermi-level density of states in states/eV per atom: 0.51
Calculated volume in Å³/atom: 17.20


Most stable of them? 1.